Here is Tm6BSe5 after structural relaxation from Alexandria. Energies are from PBE-GGA.

```
Tm6BSe5
1.0
6.764 -0.637 -1.218
-4.418 6.387 -1.877
0.014 -0.483 6.891
Se Tm B
5 6 1
direct
0.335 0.335 0.669
0.665 0.665 0.331
0.000 0.500 0.000
0.675 0.175 0.350
0.325 0.825 0.650
0.851 0.625 0.700
0.451 0.221 0.000
0.549 0.779 0.000
0.149 0.375 0.300
0.848 0.075 0.700
0.152 0.925 0.300
0.000 0.000 0.000
```

Values from the calculation:
Formation energy without anion corrections   -1.558 eV/atom
M_tot   0.0 μB per formula unit
Uncorrected energy   -5.802 eV per atom

***

Here is TmBSe after structural relaxation from Alexandria. Energies are from PBE-GGA.

```
TmBSe
1.0
3.435 0.000 0.000
1.718 2.975 0.000
1.718 0.992 11.446
B Se Tm
2 2 2
direct
0.166 0.166 0.502
0.834 0.834 0.498
0.722 0.722 0.835
0.278 0.278 0.165
0.446 0.446 0.663
0.554 0.554 0.337
```

Values from the calculation:
Formation energy without anion corrections   -0.717 eV/atom
M_tot   0.0 μB per formula unit
Uncorrected energy   -5.594 eV per atom

***

Here is VBSe3 after structural relaxation from Alexandria. Energies are from PBE-GGA.

```
VBSe3
1.0
4.815 0.000 0.000
0.000 4.815 0.000
0.000 0.000 4.815
V Se B
1 3 1
direct
0.000 0.000 0.000
0.500 0.000 0.000
0.000 0.500 0.000
0.000 0.000 0.500
0.500 0.500 0.500
```

Values from the calculation:
Formation energy without anion corrections   0.835 eV/atom
M_tot   0.6 μB per formula unit
Uncorrected energy   -4.415 eV per atom